Material: Co4SiCl
Method: DFT, GGA-PBE
State: optimized geometry

* space group: F-43m (216)
* E_form (uncorrected): 0.60 eV/atom
* total magnetic moment: 6.90 μB/f.u.
* N(E_F): 8.443 states/eV per cell

Unit cell a=4.8301 b=4.8301 c=4.8301 alpha=60.00 beta=60.00 gamma=60.00
With the nearest neighbours (Å) after each atom.
Fractional coordinates of all 6 atoms:
Si: 0.7500 0.7500 0.7500  12 Co 2.83, 4 Cl 2.96
Co: 0.8728 0.3757 0.3757  6 Co 2.40-2.43
Co: 0.3757 0.3757 0.8728  6 Co 2.40-2.43
Co: 0.3757 0.3757 0.3757  6 Co 2.40-2.43
Co: 0.3757 0.8728 0.3757  6 Co 2.40-2.43
Cl: 0.0000 0.0000 0.0000  12 Co 2.83, 4 Si 2.96